Entry from the Alexandria database: crystalline Th3SiTe2 at its relaxed geometry (PBE-GGA).

Unit cell a=7.6199 b=13.1103 c=7.7221 alpha=90.00 beta=108.91 gamma=90.00
Space group C2/m (No. 12)
Symmetry-distinct sites (fractional):
Th  0.2126  0.0000  0.2135
Th  0.2458  0.1786  0.7770
Si  0.0000  0.1692  0.0000
Te  0.0000  0.0000  0.5000
Te  0.0000  0.3440  0.5000
Te  0.0000  0.5000  0.0000

Values from the calculation:
- Energy above the lowest structure with this stoichiometry: 0.0 meV per atom
- Size of the total moment: 0.00 μB per formula unit